# 1
# Li2Pd3Au3

Li2Pd3Au3 after structural relaxation (PBE, the Alexandria database).

Calculated values
size of the total moment = 0.0 Bohr magnetons per cell
DFT formation energy = -0.36 eV per atom
volume = 127 Å³/cell
crystal system = orthorhombic

abc: 4.033 4.060 7.732
angles: 90.00 90.00 90.00
Space group Pmmm (No. 47)
One atom of each set of equivalent atoms:
Li1 0.000 0.000 0.242 [2 per cell]
Pd1 0.000 0.500 0.000 [1 per cell]
Pd2 0.500 0.500 0.248 [2 per cell]
Au1 0.000 0.500 0.500 [1 per cell]
Au2 0.500 0.000 0.000 [1 per cell]
Au3 0.500 0.000 0.500 [1 per cell]


# 2
# Nd12Tl3Hg

Nd12Tl3Hg after structural relaxation (PBE, the Alexandria database).

Calculated values
size of the total moment = 0.0 Bohr magnetons per cell
DFT formation energy = -0.20 eV per atom
volume = 495 Å³/cell
crystal system = tetragonal

abc: 4.988 4.988 19.887
angles: 90.00 90.00 90.00
Space group P4/mmm (No. 123)
One atom of each set of equivalent atoms:
Nd1 0.000 0.000 0.000 [1 per cell]
Nd2 0.000 0.000 0.247 [2 per cell]
Nd3 0.000 0.000 0.500 [1 per cell]
Nd4 0.000 0.500 0.123 [4 per cell]
Nd5 0.000 0.500 0.374 [4 per cell]
Tl1 0.500 0.500 0.249 [2 per cell]
Tl2 0.500 0.500 0.500 [1 per cell]
Hg1 0.500 0.500 0.000 [1 per cell]


# 3
# K2AgMo

K2AgMo after structural relaxation (PBE, the Alexandria database).

Calculated values
size of the total moment = 3.5 Bohr magnetons per cell
DFT formation energy = 1.09 eV per atom
distance to the lowest polymorph of the same formula = 0.1966 eV per atom
volume = 320 Å³/cell
crystal system = trigonal

abc: 3.1660 3.1660 36.8757
angles: 90.00 90.00 120.00
Space group R3m (No. 160, hexagonal axes)
One atom of each set of equivalent atoms:
K1 0.0000 0.0000 0.0000 [3 per cell]
K2 0.0000 0.0000 0.2219 [3 per cell]
Ag1 0.0000 0.0000 0.7466 [3 per cell]
Mo1 0.0000 0.0000 0.4734 [3 per cell]


# 4
# PuAl4Si2

PuAl4Si2 after structural relaxation (PBE, the Alexandria database).

Calculated values
size of the total moment = 10.8 Bohr magnetons per cell
distance to the lowest polymorph of the same formula = 0.0000 eV per atom
volume = 244 Å³/cell
formation energy without anion corrections = -0.1774 eV per atom
crystal system = tetragonal

abc: 7.795 7.795 4.016
angles: 90.00 90.00 90.00
Space group P4_2/mnm (No. 136)
One atom of each set of equivalent atoms:
Pu1 0.000 0.000 0.000 [2 per cell]
Al1 0.088 0.342 0.500 [8 per cell]
Si1 0.210 0.790 0.500 [4 per cell]


> The lowest volume belongs to which entry?

Li2Pd3Au3


> volume of number 3 (K2AgMo)?

320 Å³/cell


> Which of these has the highest volume?

Nd12Tl3Hg